Entry 1:
Here is a relaxed Rb3BiO3 crystal from Alexandria via LeMat-Bulk. Energies are from PBE-GGA.

As for the offset from the most stable computed form: 0.2460 eV/atom.

Lattice parameters (Å, degrees): 5.974 9.013 9.013 119.94 90.00 90.00
Element x y z (fractional)
Rb 0.250 0.666 0.833
Rb 0.250 0.167 0.334
Rb 0.250 0.167 0.834
Rb 0.750 0.334 0.167
Rb 0.750 0.833 0.666
Rb 0.750 0.833 0.166
Bi 0.750 0.333 0.667
Bi 0.250 0.667 0.333
O 0.750 0.611 0.805
O 0.750 0.194 0.389
O 0.750 0.194 0.806
O 0.250 0.389 0.195
O 0.250 0.806 0.611
O 0.250 0.806 0.194

Entry 2:
Here is a relaxed RbBiO3 crystal from Alexandria via LeMat-Bulk. Energies are from PBE-GGA.

The calculation puts the final energy at -22.365 eV/f.u.

Lattice parameters (Å, degrees): 5.345 5.345 5.345 89.07 89.07 89.07
Each line ends with the local moment (μB).
Element x y z (fractional)
O 0.675 0.047 0.675  0.57
O 0.047 0.675 0.675  0.49
O 0.675 0.675 0.047  0.62
Bi 0.941 0.941 0.941  -0.09
Rb 0.537 0.537 0.537  0.01

Entry 3:
Here is a relaxed Rb3BiO4 crystal from Alexandria via LeMat-Bulk. Energies are from PBE-GGA.

As for the offset from the most stable computed form: 0.0000 eV/atom.

Lattice parameters (Å, degrees): 8.629 9.849 9.278 90.00 90.00 90.00
Element x y z (fractional)
O 0.174 0.960 0.565
O 0.674 0.540 0.935
O 0.826 0.040 0.065
O 0.326 0.460 0.435
O 0.826 0.040 0.435
O 0.326 0.460 0.065
O 0.174 0.960 0.935
O 0.674 0.540 0.565
O 0.319 0.214 0.750
O 0.819 0.286 0.750
O 0.681 0.786 0.250
O 0.181 0.714 0.250
O 0.497 0.906 0.750
O 0.997 0.594 0.750
O 0.503 0.094 0.250
O 0.003 0.406 0.250
Bi 0.290 0.007 0.750
Bi 0.790 0.493 0.750
Bi 0.710 0.993 0.250
Bi 0.210 0.507 0.250
Rb 0.299 0.493 0.750
Rb 0.799 0.007 0.750
Rb 0.701 0.507 0.250
Rb 0.201 0.993 0.250
Rb 0.459 0.747 0.014
Rb 0.959 0.753 0.486
Rb 0.541 0.253 0.514
Rb 0.041 0.247 0.986
Rb 0.541 0.253 0.986
Rb 0.041 0.247 0.514
Rb 0.459 0.747 0.486
Rb 0.959 0.753 0.014

Entry 4:
Here is a relaxed Rb3BiO3 crystal from Alexandria via LeMat-Bulk. Energies are from PBE-GGA.

As for the offset from the most stable computed form: 0.0000 eV/atom.

Lattice parameters (Å, degrees): 8.982 8.982 8.982 90.00 90.00 90.00
Element x y z (fractional)
Rb 0.284 0.284 0.284
Rb 0.216 0.716 0.784
Rb 0.784 0.216 0.716
Rb 0.716 0.784 0.216
Rb 0.711 0.211 0.289
Rb 0.789 0.789 0.789
Rb 0.980 0.520 0.480
Rb 0.520 0.480 0.980
Rb 0.480 0.980 0.520
Rb 0.020 0.020 0.020
Rb 0.211 0.289 0.711
Rb 0.289 0.711 0.211
Bi 0.487 0.013 0.987
Bi 0.013 0.987 0.487
Bi 0.987 0.487 0.013
Bi 0.513 0.513 0.513
O 0.441 0.004 0.216
O 0.941 0.496 0.784
O 0.559 0.504 0.284
O 0.496 0.784 0.941
O 0.004 0.216 0.441
O 0.216 0.441 0.004
O 0.504 0.284 0.559
O 0.996 0.716 0.059
O 0.716 0.059 0.996
O 0.059 0.996 0.716
O 0.284 0.559 0.504
O 0.784 0.941 0.496

Entry 5:
Here is a relaxed RbBiO3 crystal from Alexandria via LeMat-Bulk. Energies are from PBE-GGA.

The calculation puts the final energy at -22.769 eV/f.u.

Lattice parameters (Å, degrees): 3.731 3.731 7.041 90.00 90.00 90.00
Each line ends with the local moment (μB).
Element x y z (fractional)
O 0.000 0.000 0.732  0.67
O 0.500 0.000 0.411  0.49
O 0.000 0.500 0.411  0.49
Bi 0.500 0.500 0.588  0.01
Rb 0.000 0.000 0.121  0.01

Entry 6:
Here is a relaxed Rb3Bi2O6 crystal from Alexandria via LeMat-Bulk. Energies are from PBE-GGA.

The calculation puts the final energy at -53.491 eV/f.u.

Lattice parameters (Å, degrees): 4.234 4.234 12.848 99.48 99.48 90.00
Element x y z (fractional)
Rb 0.000 0.000 0.000
Rb 0.804 0.804 0.607
Rb 0.196 0.196 0.393
Bi 0.393 0.393 0.786
Bi 0.607 0.607 0.214
O 0.085 0.585 0.170
O 0.585 0.085 0.170
O 0.915 0.415 0.830
O 0.415 0.915 0.830
O 0.689 0.689 0.377
O 0.311 0.311 0.623